No. 1
Below is a relaxed structure of HoMnZnS4, with properties calculated at the PBE level.

a b c (Å): 7.530 7.435 7.435
angles (deg): 61.49 59.57 59.57
Last column: magnetic moment on the atom in μB.
Sites, in units of the cell vectors:
S (0.740, 0.783, 0.736)  0.00
S (0.740, 0.236, 0.283)  0.00
Zn (0.623, 0.627, 0.127)  0.03
Mn (0.500, 0.000, 0.500)  3.69
Ho (0.000, 0.500, 0.500)  0.03
S (0.234, 0.766, 0.266)  -0.01
Mn (0.000, 0.000, 0.500)  3.69
Zn (0.377, 0.373, 0.873)  0.03
S (0.267, 0.234, 0.734)  -0.01
S (0.260, 0.217, 0.264)  0.00
Ho (0.000, 0.000, 0.000)  0.03
S (0.733, 0.766, 0.266)  -0.01
S (0.260, 0.764, 0.717)  0.00
S (0.766, 0.234, 0.734)  -0.01

Values from the calculation:
Uncorrected formation energy ... -1.081 eV per atom
Density ... 4.6 Mg/m³

No. 2
Below is a relaxed structure of Ho2ZrMnS6, with properties calculated at the PBE level.

a b c (Å): 6.656 6.656 7.095
angles (deg): 62.03 62.02 60.00
Last column: magnetic moment on the atom in μB.
Sites, in units of the cell vectors:
S (0.093, 0.446, 0.758)  0.02
Ho (0.517, 0.517, 0.449)  0.05
S (0.939, 0.599, 0.254)  0.02
S (0.702, 0.093, 0.758)  0.02
Ho (0.019, 0.019, 0.942)  0.02
S (0.599, 0.208, 0.254)  0.02
Mn (0.316, 0.316, 0.052)  4.23
S (0.446, 0.702, 0.758)  0.02
S (0.208, 0.939, 0.254)  0.02
Zr (0.821, 0.821, 0.537)  0.12

Values from the calculation:
Uncorrected formation energy ... -1.563 eV per atom
Density ... 4.9 Mg/m³

No. 3
Below is a relaxed structure of HoMnSb2, with properties calculated at the PBE level.

a b c (Å): 3.509 3.509 9.986
angles (deg): 79.88 79.88 60.00
Last column: magnetic moment on the atom in μB.
Sites, in units of the cell vectors:
Sb (0.106, 0.106, 0.683)  -0.10
Ho (0.000, 0.000, 0.000)  0.03
Mn (0.500, 0.500, 0.500)  2.79
Sb (0.894, 0.894, 0.317)  -0.10

Values from the calculation:
Uncorrected formation energy ... 0.059 eV per atom
Density ... 7.4 Mg/m³

No. 4
Below is a relaxed structure of Ho2ScMn, with properties calculated at the PBE level.

a b c (Å): 3.474 3.474 8.188
angles (deg): 90.00 90.00 90.00
Last column: magnetic moment on the atom in μB.
Sites, in units of the cell vectors:
Ho (0.000, 0.000, 0.787)  -0.10
Mn (0.500, 0.500, 0.000)  3.26
Sc (0.500, 0.500, 0.500)  0.38
Ho (0.000, 0.000, 0.213)  -0.10

Values from the calculation:
DFT formation energy ... 0.126 eV/atom
Energy relative to the lowest polymorph listed for this composition ... 0 meV per atom
Density ... 7.2 Mg/m³

No. 5
Below is a relaxed structure of HoScMn4, with properties calculated at the PBE level.

a b c (Å): 5.001 5.001 5.001
angles (deg): 60.00 60.00 60.00
Last column: magnetic moment on the atom in μB.
Sites, in units of the cell vectors:
Mn (0.625, 0.124, 0.625)  0.40
Mn (0.625, 0.625, 0.625)  0.40
Mn (0.124, 0.625, 0.625)  0.40
Ho (0.250, 0.250, 0.250)  -0.10
Mn (0.625, 0.625, 0.124)  0.40
Sc (0.000, 0.000, 0.000)  -0.09

Values from the calculation:
DFT formation energy ... 0.011 eV/atom
Density ... 8.1 Mg/m³

No. 6
Below is a relaxed structure of Ho2ScMn, with properties calculated at the PBE level.

a b c (Å): 3.295 3.295 11.183
angles (deg): 81.53 81.53 60.00
Last column: magnetic moment on the atom in μB.
Sites, in units of the cell vectors:
Ho (0.084, 0.084, 0.747)  -0.24
Sc (0.500, 0.500, 0.500)  0.06
Ho (0.916, 0.916, 0.253)  -0.24
Mn (0.000, 0.000, 0.000)  3.63

Values from the calculation:
DFT formation energy ... 0.503 eV/atom
Energy relative to the lowest polymorph listed for this composition ... 378 meV per atom
Density ... 6.9 Mg/m³

No. 7
Below is a relaxed structure of HoSc3Mn, with properties calculated at the PBE level.

a b c (Å): 4.934 4.934 4.934
angles (deg): 90.00 90.00 90.00
Last column: magnetic moment on the atom in μB.
Sites, in units of the cell vectors:
Ho (0.500, 0.500, 0.500)  -0.03
Sc (0.000, 0.500, 0.000)  -0.03
Mn (0.000, 0.000, 0.000)  0.30
Sc (0.500, 0.000, 0.000)  -0.03
Sc (0.000, 0.000, 0.500)  -0.03

Values from the calculation:
DFT formation energy ... 0.137 eV/atom
Density ... 4.9 Mg/m³

No. 8
Below is a relaxed structure of Ho2ScMn, with properties calculated at the PBE level.

a b c (Å): 4.130 4.876 4.876
angles (deg): 90.00 90.00 90.00
Last column: magnetic moment on the atom in μB.
Sites, in units of the cell vectors:
Ho (0.000, 0.500, 0.000)  -0.26
Mn (0.500, 0.000, 0.000)  3.58
Sc (0.500, 0.500, 0.500)  -0.30
Ho (0.000, 0.000, 0.500)  -0.26

Values from the calculation:
DFT formation energy ... 0.170 eV/atom
Energy relative to the lowest polymorph listed for this composition ... 45 meV per atom
Density ... 7.3 Mg/m³

No. 9
Below is a relaxed structure of TbHoScMn, with properties calculated at the PBE level.

a b c (Å): 5.195 5.195 5.195
angles (deg): 60.00 60.00 60.00
Last column: magnetic moment on the atom in μB.
Sites, in units of the cell vectors:
Mn (0.500, 0.500, 0.500)  3.56
Sc (0.000, 0.000, 0.000)  -0.33
Ho (0.750, 0.750, 0.750)  -0.25
Tb (0.250, 0.250, 0.250)  -0.24

Values from the calculation:
DFT formation energy ... 0.227 eV/atom
Density ... 7.1 Mg/m³

No. 10
Below is a relaxed structure of HoScMnTc, with properties calculated at the PBE level.

a b c (Å): 4.762 4.762 4.762
angles (deg): 60.00 60.00 60.00
Last column: magnetic moment on the atom in μB.
Sites, in units of the cell vectors:
Ho (0.500, 0.500, 0.500)  -0.05
Mn (0.750, 0.750, 0.750)  3.36
Tc (0.250, 0.250, 0.250)  0.26
Sc (0.000, 0.000, 0.000)  -0.07

Values from the calculation:
DFT formation energy ... 0.043 eV/atom
Density ... 7.9 Mg/m³

No. 11
Below is a relaxed structure of HoTmScMn, with properties calculated at the PBE level.

a b c (Å): 5.154 5.154 5.154
angles (deg): 60.00 60.00 60.00
Last column: magnetic moment on the atom in μB.
Sites, in units of the cell vectors:
Ho (0.250, 0.250, 0.250)  -0.29
Sc (0.000, 0.000, 0.000)  -0.40
Tm (0.750, 0.750, 0.750)  -0.29
Mn (0.500, 0.500, 0.500)  3.47

Values from the calculation:
DFT formation energy ... 0.221 eV/atom
Density ... 7.4 Mg/m³

No. 12
Below is a relaxed structure of YHoScMn, with properties calculated at the PBE level.

a b c (Å): 5.201 5.201 5.201
angles (deg): 60.00 60.00 60.00
Last column: magnetic moment on the atom in μB.
Sites, in units of the cell vectors:
Y (0.250, 0.250, 0.250)  -0.22
Mn (0.500, 0.500, 0.500)  3.56
Ho (0.750, 0.750, 0.750)  -0.28
Sc (0.000, 0.000, 0.000)  -0.40

Values from the calculation:
DFT formation energy ... 0.230 eV/atom
Density ... 5.9 Mg/m³